Arrangement P

{
  "formula": "Sn2S2Cl",
  "functional": "PBE",
  "state": "relaxed",
  "crystal_system": "monoclinic",
  "vol_a3_per_cell": 280.3,
  "n_ef_per_ev_cell": 7.70,
  "cell": [[5.2485, -4.8650, 0.0000], [5.2485, 4.8650, 0.0000], [-4.1767, 0.0000, 5.4894]],
  "species": ["Sn", "Sn", "Sn", "Sn", "S", "S", "S", "S", "Cl", "Cl"],
  "fractional_positions": [[0.0768, 0.9232, 0.7500], [0.3247, 0.6753, 0.2500], [0.6753, 0.3247, 0.7500], [0.9232, 0.0768, 0.2500], [0.0603, 0.2837, 0.0813], [0.2837, 0.0603, 0.5813], [0.7163, 0.9397, 0.4187], [0.9397, 0.7163, 0.9187], [0.3582, 0.6418, 0.7500], [0.6418, 0.3582, 0.2500]]
}


Arrangement Q

{
  "formula": "Sn2S2Cl",
  "functional": "PBE",
  "state": "relaxed",
  "crystal_system": "orthorhombic",
  "vol_a3_per_cell": 136.4,
  "n_ef_per_ev_cell": 1.72,
  "cell": [[-2.0393, 2.7358, 6.1141], [2.0393, -2.7358, 6.1141], [2.0393, 2.7358, -6.1141]],
  "species": ["Sn", "Sn", "S", "S", "Cl"],
  "fractional_positions": [[0.1790, 0.1790, 0.0000], [0.8210, 0.8210, 0.0000], [0.3277, 0.8277, 0.5000], [0.6723, 0.1723, 0.5000], [0.0000, 0.5000, 0.5000]]
}


Result of the stability comparison: arrangement Q is the most stable of them.


Arrangement P

{
  "formula": "SrSnSCl2",
  "functional": "PBE",
  "state": "relaxed",
  "crystal_system": "tetragonal",
  "vol_a3_per_cell": 156.9,
  "n_ef_per_ev_cell": 0.53,
  "cell": [[5.3383, 0.0000, 0.0000], [0.0000, 5.3383, 0.0000], [0.0000, 0.0000, 5.5062]],
  "species": ["Sr", "Sn", "S", "Cl", "Cl"],
  "fractional_positions": [[0.0000, 0.0000, 0.0000], [0.5000, 0.5000, 0.5000], [0.5000, 0.5000, 0.0000], [0.0000, 0.5000, 0.5000], [0.5000, 0.0000, 0.5000]]
}


Arrangement Q

{
  "formula": "SrSnSCl2",
  "functional": "PBE",
  "state": "relaxed",
  "crystal_system": "tetragonal",
  "vol_a3_per_cell": 168.2,
  "cell": [[5.3664, 0.0000, 0.0000], [0.0000, 5.3664, 0.0000], [0.0000, 0.0000, 5.8400]],
  "species": ["Sr", "Sn", "S", "Cl", "Cl"],
  "fractional_positions": [[0.0000, 0.0000, 0.0000], [0.5000, 0.5000, 0.5000], [0.0000, 0.0000, 0.5000], [0.0000, 0.5000, 0.0000], [0.5000, 0.0000, 0.0000]]
}


Result of the stability comparison: arrangement P is the most stable of them.